A plane-wave DFT calculation with PBE was carried out for a relaxed NiPd4Pt4 crystal.

extended XYZ file:
```
9
Lattice="-3.8100 0.9770 0.1009 -2.7352 -2.2160 -5.1099 -3.1170 -4.5298 2.8755" Properties=species:S:1:pos:R:3 pbc="T T T"
Pt -2.3006 -1.1493 0.9724
Pt -7.3616 -4.6194 -3.1058
Pd -2.8609 -2.9779 -2.4800
Pd -5.1797 -4.2024 -1.4654
Pd -4.4825 -1.5663 -0.6681
Pt -4.3692 -0.8449 -3.3752
Ni 0.0000 0.0000 0.0000
Pd -6.8013 -2.7909 0.3466
Pt -5.2929 -4.9238 1.2418
```

Energy in eV/atom: -5.662
Formation enthalpy at 0 K in eV per atom: -0.03
SG: I4/mmm, No. 139